Ba2BiW3O12: optimized geometry, PBE+U.

Geometry as POSCAR:
```
Ba2BiW3O12
1.0
7.3066 -0.0977 -0.0693
3.5234 6.4017 -0.0693
3.5234 2.0509 6.0647
O Bi W Ba
12 1 3 2
direct
0.1141 0.1141 0.6019 O
0.8859 0.3981 0.8859 O
0.7113 0.7113 0.0874 O
0.0874 0.7113 0.7113 O
0.9126 0.2887 0.2887 O
0.2887 0.9126 0.2887 O
0.6019 0.1141 0.1141 O
0.1141 0.6019 0.1141 O
0.2887 0.2887 0.9126 O
0.7113 0.0874 0.7113 O
0.3981 0.8859 0.8859 O
0.8859 0.8859 0.3981 O
0.0000 0.0000 0.0000 Bi
0.0000 0.0000 0.5000 W
0.0000 0.5000 0.0000 W
0.5000 0.0000 0.0000 W
0.3694 0.3694 0.3694 Ba
0.6306 0.6306 0.6306 Ba
```

Calculated total energy ... -7.0514 eV/atom
Symmetry ... R-3m (166)